Density functional theory data (GGA-PBE) for a geometry-optimized Rh2AuBr structure.

Results
- Formation energy without anion corrections: 0.491 eV/atom
- DFT total energy: -17.687 eV/cell

The structure in CIF format:
```
data_Rh2AuBr
_space_group_name_H-M_alt 'P 1'
_space_group_IT_number 1
_space_group_name_Hall 'P 1'
_cell_length_a 4.275
_cell_length_b 3.202
_cell_length_c 5.595
_cell_angle_alpha 66.04
_cell_angle_beta 90.00
_cell_angle_gamma 90.00
loop_
_atom_site_label
_atom_site_fract_x
_atom_site_fract_y
_atom_site_fract_z
Rh1 0.000 0.188 0.926
Rh2 0.500 0.083 0.325
Au1 0.000 0.518 0.405
Br1 0.500 0.711 0.844
```

Density functional theory data (GGA-PBE) for a geometry-optimized RhAuBr structure.

Results
- Formation energy without anion corrections: 0.303 eV/atom
- DFT total energy: -11.394 eV/cell

The structure in CIF format:
```
data_RhAuBr
_space_group_name_H-M_alt 'P 1'
_space_group_IT_number 1
_space_group_name_Hall 'P 1'
_cell_length_a 3.560
_cell_length_b 3.560
_cell_length_c 5.732
_cell_angle_alpha 90.00
_cell_angle_beta 90.00
_cell_angle_gamma 120.00
loop_
_atom_site_label
_atom_site_fract_x
_atom_site_fract_y
_atom_site_fract_z
Rh1 0.333 0.667 0.651
Au1 0.000 0.000 0.950
Br1 0.667 0.333 0.398
```

Density functional theory data (GGA-PBE) for a geometry-optimized RhAu3Br structure.

Results
- Formation energy without anion corrections: 0.945 eV/atom
- DFT total energy: -14.132 eV/cell

The structure in CIF format:
```
data_RhAu3Br
_space_group_name_H-M_alt 'P 1'
_space_group_IT_number 1
_space_group_name_Hall 'P 1'
_cell_length_a 5.060
_cell_length_b 5.060
_cell_length_c 5.060
_cell_angle_alpha 90.00
_cell_angle_beta 90.00
_cell_angle_gamma 90.00
loop_
_atom_site_label
_atom_site_fract_x
_atom_site_fract_y
_atom_site_fract_z
Rh1 0.000 0.000 0.000
Au1 0.000 0.500 0.000
Au2 0.000 0.000 0.500
Au3 0.500 0.000 0.000
Br1 0.500 0.500 0.500
```

Density functional theory data (GGA-PBE) for a geometry-optimized Rh3AuBr structure.

Results
- Formation energy without anion corrections: 1.608 eV/atom
- DFT total energy: -18.967 eV/cell

The structure in CIF format:
```
data_Rh3AuBr
_space_group_name_H-M_alt 'P 1'
_space_group_IT_number 1
_space_group_name_Hall 'P 1'
_cell_length_a 4.969
_cell_length_b 4.969
_cell_length_c 4.969
_cell_angle_alpha 90.00
_cell_angle_beta 90.00
_cell_angle_gamma 90.00
loop_
_atom_site_label
_atom_site_fract_x
_atom_site_fract_y
_atom_site_fract_z
Rh1 0.000 0.500 0.000
Rh2 0.000 0.000 0.500
Rh3 0.500 0.000 0.000
Au1 0.000 0.000 0.000
Br1 0.500 0.500 0.500
```